# 1
LiOs2Br after structural relaxation. Source: Alexandria via LeMat-Bulk, functional PBE.

Summary:
The calculation puts the density of states at the Fermi level at 2.947 states/eV/f.u. For the formation energy (no corrections), the calculation gives 1.17 eV/atom. The value obtained for the energy above the most stable polymorph in this dataset is 844 meV per atom. Its total moment is 0.0 μB/f.u. The value obtained for the calculated total energy is -5.3388 eV/atom. As for the crystal system: tetragonal.

The structure in CIF format:
```
data_LiOs2Br
_chemical_formula_sum 'Li4 Os8 Br4'
_space_group_name_H-M_alt 'P 1'
_space_group_IT_number 1
_cell_length_a 8.2857
_cell_length_b 8.2857
_cell_length_c 4.4105
_cell_angle_alpha 90.00
_cell_angle_beta 90.00
_cell_angle_gamma 90.00
loop_
_space_group_symop_operation_xyz
'x,y,z'
loop_
_atom_site_label
_atom_site_type_symbol
_atom_site_fract_x
_atom_site_fract_y
_atom_site_fract_z
_atom_site_occupancy
Li1 Li 0.0000 0.0000 0.0000 1
Li2 Li 0.0000 0.5000 0.2500 1
Li3 Li 0.5000 0.0000 0.7500 1
Li4 Li 0.5000 0.5000 0.5000 1
Os1 Os 0.1892 0.7500 0.6250 1
Os2 Os 0.2500 0.1892 0.3750 1
Os3 Os 0.2500 0.3108 0.8750 1
Os4 Os 0.3108 0.7500 0.1250 1
Os5 Os 0.6892 0.2500 0.1250 1
Os6 Os 0.7500 0.6892 0.8750 1
Os7 Os 0.7500 0.8108 0.3750 1
Os8 Os 0.8108 0.2500 0.6250 1
Br1 Br 0.0000 0.0000 0.5000 1
Br2 Br 0.0000 0.5000 0.7500 1
Br3 Br 0.5000 0.0000 0.2500 1
Br4 Br 0.5000 0.5000 0.0000 1
```



# 2
Zr4ReRh2 after structural relaxation. Source: Alexandria via LeMat-Bulk, functional PBE.

Summary:
The value obtained for the formation energy is -41 kJ per mole of atoms. The calculation puts the density of states at the Fermi level at 6.449 states/eV/f.u. Its total moment is 0.0 μB/f.u. The value obtained for the calculated total energy is -9.1861 eV/atom. As for the crystal system: tetragonal.

The structure in CIF format:
```
data_Zr4ReRh2
_chemical_formula_sum 'Zr8 Re2 Rh4'
_space_group_name_H-M_alt 'P 1'
_space_group_IT_number 1
_cell_length_a 6.5125
_cell_length_b 6.5125
_cell_length_c 6.6015
_cell_angle_alpha 90.00
_cell_angle_beta 90.00
_cell_angle_gamma 90.00
loop_
_space_group_symop_operation_xyz
'x,y,z'
loop_
_atom_site_label
_atom_site_type_symbol
_atom_site_fract_x
_atom_site_fract_y
_atom_site_fract_z
_atom_site_occupancy
Zr1 Zr 0.2500 0.2500 0.2500 1
Zr2 Zr 0.2500 0.2500 0.7500 1
Zr3 Zr 0.2500 0.7500 0.2500 1
Zr4 Zr 0.2500 0.7500 0.7500 1
Zr5 Zr 0.7500 0.2500 0.2500 1
Zr6 Zr 0.7500 0.2500 0.7500 1
Zr7 Zr 0.7500 0.7500 0.2500 1
Zr8 Zr 0.7500 0.7500 0.7500 1
Re1 Re 0.0000 0.0000 0.0000 1
Re2 Re 0.5000 0.5000 0.5000 1
Rh1 Rh 0.0000 0.5000 0.0000 1
Rh2 Rh 0.0000 0.5000 0.5000 1
Rh3 Rh 0.5000 0.0000 0.0000 1
Rh4 Rh 0.5000 0.0000 0.5000 1
```



# 3
BaLaSm after structural relaxation. Source: Alexandria via LeMat-Bulk, functional PBE.

Summary:
The value obtained for the formation energy is 12 kJ per mole of atoms. The calculation puts the density of states at the Fermi level at 4.521 states/eV/f.u. The value obtained for the energy above the most stable polymorph in this dataset is 0 meV per atom. Its total moment is 0.0 μB/f.u. The value obtained for the calculated total energy is -3.7272 eV/atom. As for the crystal system: tetragonal.

The structure in CIF format:
```
data_BaLaSm
_chemical_formula_sum 'Ba2 La2 Sm2'
_space_group_name_H-M_alt 'P 1'
_space_group_IT_number 1
_cell_length_a 3.8463
_cell_length_b 3.8463
_cell_length_c 17.0455
_cell_angle_alpha 90.00
_cell_angle_beta 90.00
_cell_angle_gamma 90.00
loop_
_space_group_symop_operation_xyz
'x,y,z'
loop_
_atom_site_label
_atom_site_type_symbol
_atom_site_fract_x
_atom_site_fract_y
_atom_site_fract_z
_atom_site_occupancy
Ba1 Ba 0.0000 0.0000 0.0000 1
Ba2 Ba 0.5000 0.5000 0.5000 1
La1 La 0.0000 0.0000 0.3149 1
La2 La 0.5000 0.5000 0.8149 1
Sm1 Sm 0.0000 0.0000 0.6783 1
Sm2 Sm 0.5000 0.5000 0.1783 1
```



# 4
Hf2ZrFePd after structural relaxation. Source: Alexandria via LeMat-Bulk, functional PBE.

Summary:
The value obtained for the formation energy is 102 kJ per mole of atoms. The calculation puts the density of states at the Fermi level at 11.051 states/eV/f.u. Its total moment is 0.0 μB/f.u. The value obtained for the calculated total energy is -7.3620 eV/atom. As for the crystal system: tetragonal.

The structure in CIF format:
```
data_Hf2ZrFePd
_chemical_formula_sum 'Hf2 Zr1 Fe1 Pd1'
_space_group_name_H-M_alt 'P 1'
_space_group_IT_number 1
_cell_length_a 4.9265
_cell_length_b 4.9265
_cell_length_c 5.0039
_cell_angle_alpha 90.00
_cell_angle_beta 90.00
_cell_angle_gamma 90.00
loop_
_space_group_symop_operation_xyz
'x,y,z'
loop_
_atom_site_label
_atom_site_type_symbol
_atom_site_fract_x
_atom_site_fract_y
_atom_site_fract_z
_atom_site_occupancy
Hf1 Hf 0.0000 0.5000 0.0000 1
Hf2 Hf 0.5000 0.0000 0.0000 1
Zr1 Zr 0.0000 0.0000 0.5000 1
Fe1 Fe 0.5000 0.5000 0.5000 1
Pd1 Pd 0.0000 0.0000 0.0000 1
```



# 5
Dy4Tm3In4 after structural relaxation. Source: Alexandria via LeMat-Bulk, functional PBE.

Summary:
The value obtained for the formation energy is -27 kJ per mole of atoms. The calculation puts the density of states at the Fermi level at 10.858 states/eV/f.u. Its total moment is 0.0 μB/f.u. The value obtained for the calculated total energy is -4.1724 eV/atom. As for the crystal system: orthorhombic.

The structure in CIF format:
```
data_Dy4Tm3In4
_chemical_formula_sum 'Dy4 Tm3 In4'
_space_group_name_H-M_alt 'P 1'
_space_group_IT_number 1
_cell_length_a 10.6545
_cell_length_b 10.6545
_cell_length_c 10.6545
_cell_angle_alpha 160.64
_cell_angle_beta 127.85
_cell_angle_gamma 56.15
loop_
_space_group_symop_operation_xyz
'x,y,z'
loop_
_atom_site_label
_atom_site_type_symbol
_atom_site_fract_x
_atom_site_fract_y
_atom_site_fract_z
_atom_site_occupancy
Dy1 Dy 0.0238 0.8386 0.1852 1
Dy2 Dy 0.3466 0.1614 0.1852 1
Dy3 Dy 0.6534 0.8386 0.8148 1
Dy4 Dy 0.9762 0.1614 0.8148 1
Tm1 Tm 0.0000 0.5000 0.5000 1
Tm2 Tm 0.4040 0.4040 0.0000 1
Tm3 Tm 0.5960 0.5960 0.0000 1
In1 In 0.2703 0.7703 0.5000 1
In2 In 0.2821 0.0000 0.2821 1
In3 In 0.7179 0.0000 0.7179 1
In4 In 0.7297 0.2297 0.5000 1
```



# 6
Pr3NdDy2S6 after structural relaxation. Source: Alexandria via LeMat-Bulk, functional PBE.

Summary:
The calculation puts the density of states at the Fermi level at 5.357 states/eV/f.u. For the formation energy (no corrections), the calculation gives -2.02 eV/atom. Its total moment is 0.0 μB/f.u. The value obtained for the calculated total energy is -6.4395 eV/atom. As for the crystal system: monoclinic.

The structure in CIF format:
```
data_Pr3NdDy2S6
_chemical_formula_sum 'Pr3 Nd1 Dy2 S6'
_space_group_name_H-M_alt 'P 1'
_space_group_IT_number 1
_cell_length_a 6.9661
_cell_length_b 6.9661
_cell_length_c 7.0300
_cell_angle_alpha 99.49
_cell_angle_beta 99.49
_cell_angle_gamma 120.14
loop_
_space_group_symop_operation_xyz
'x,y,z'
loop_
_atom_site_label
_atom_site_type_symbol
_atom_site_fract_x
_atom_site_fract_y
_atom_site_fract_z
_atom_site_occupancy
Pr1 Pr 0.0000 0.0000 0.0000 1
Pr2 Pr 0.3375 0.6625 0.0000 1
Pr3 Pr 0.6625 0.3375 0.0000 1
Nd1 Nd 0.5000 0.5000 0.5000 1
Dy1 Dy 0.1663 0.8337 0.5000 1
Dy2 Dy 0.8337 0.1663 0.5000 1
S1 S 0.0784 0.4210 0.2626 1
S2 S 0.2353 0.2353 0.7338 1
S3 S 0.4210 0.0784 0.2626 1
S4 S 0.5790 0.9216 0.7374 1
S5 S 0.7647 0.7647 0.2662 1
S6 S 0.9216 0.5790 0.7374 1
```



What is the formula in the fourth record? Hf2ZrFePd